Here is a relaxed structure of Pr6Ho2Hg from the Alexandria database. Energies are from PBE-GGA.

Computed properties:
Calculated formation energy = 0.040 eV per atom

```
data_Pr6Ho2Hg
_cell_length_a 17.697
_cell_length_b 9.677
_cell_length_c 3.601
_cell_angle_alpha 90.00
_cell_angle_beta 90.26
_cell_angle_gamma 90.00
_space_group_name_H-M_alt 'C 1 2/m 1'
_space_group_IT_number 12
loop_
_space_group_symop_operation_xyz
'x,y,z'
'-x,-y,-z'
'-x,y,-z'
'x,-y,z'
'x+1/2,y+1/2,z'
'-x+1/2,-y+1/2,-z'
'-x+1/2,y+1/2,-z'
'x+1/2,-y+1/2,z'
loop_
_atom_site_label
_atom_site_type_symbol
_atom_site_fract_x
_atom_site_fract_y
_atom_site_fract_z
_atom_site_occupancy
Pr1 Pr 0.000 0.203 0.000 1
Pr2 Pr 0.164 0.326 0.498 1
Ho1 Ho 0.178 0.000 0.997 1
Hg1 Hg 0.000 0.500 0.500 1
```

=====

Here is a relaxed structure of SnMoP2N from the Alexandria database. Energies are from PBE-GGA.

Computed properties:
Raw total energy = -5.618 eV per atom

```
data_SnMoP2N
_cell_length_a 4.557
_cell_length_b 4.557
_cell_length_c 5.481
_cell_angle_alpha 90.00
_cell_angle_beta 90.00
_cell_angle_gamma 90.00
_space_group_name_H-M_alt 'P 4/m m m'
_space_group_IT_number 123
_space_group_name_Hall '-P 4 2'
loop_
_atom_site_label
_atom_site_type_symbol
_atom_site_fract_x
_atom_site_fract_y
_atom_site_fract_z
_atom_site_occupancy
Sn1 Sn 0.000 0.000 0.000 1
Mo1 Mo 0.000 0.000 0.500 1
P1 P 0.000 0.500 0.500 1
N1 N 0.500 0.500 0.000 1
```

=====

Here is a relaxed structure of Tm2PdF from the Alexandria database. Energies are from PBE-GGA.

Computed properties:
Raw total energy = -5.551 eV per atom

```
data_Tm2PdF
_cell_length_a 3.9788
_cell_length_b 3.9788
_cell_length_c 17.5589
_cell_angle_alpha 90.00
_cell_angle_beta 90.00
_cell_angle_gamma 120.00
_space_group_name_H-M_alt 'R -3 m'
_space_group_IT_number 166
_space_group_name_Hall '-R 3 2"'
loop_
_atom_site_label
_atom_site_type_symbol
_atom_site_fract_x
_atom_site_fract_y
_atom_site_fract_z
_atom_site_occupancy
Tm1 Tm 0.0000 0.0000 0.2448 1
Pd1 Pd 0.0000 0.0000 0.0000 1
F1 F 0.0000 0.0000 0.5000 1
```

=====

Here is a relaxed structure of Cs3CuSe2 from the Alexandria database. Energies are from PBE-GGA.

Computed properties:
Distance to the lowest polymorph of the same formula = 0.0957 eV/atom

```
data_Cs3CuSe2
_cell_length_a 8.215
_cell_length_b 13.982
_cell_length_c 9.903
_cell_angle_alpha 90.00
_cell_angle_beta 90.00
_cell_angle_gamma 90.00
_space_group_name_H-M_alt 'I b a m'
_space_group_IT_number 72
_space_group_name_Hall '-I 2 2c'
loop_
_atom_site_label
_atom_site_type_symbol
_atom_site_fract_x
_atom_site_fract_y
_atom_site_fract_z
_atom_site_occupancy
Cs1 Cs 0.000 0.000 0.250 1
Cs2 Cs 0.000 0.294 0.250 1
Cu1 Cu 0.000 0.500 0.000 1
Se1 Se 0.228 0.404 0.000 1
```

=====

Here is a relaxed structure of Tb3Nd6Ho2 from the Alexandria database. Energies are from PBE-GGA.

Computed properties:
Calculated formation energy = 0.291 eV per atom
Distance to the lowest polymorph of the same formula = 0.2123 eV/atom

```
data_Tb3Nd6Ho2
_cell_length_a 4.778
_cell_length_b 4.778
_cell_length_c 33.934
_cell_angle_alpha 90.00
_cell_angle_beta 90.00
_cell_angle_gamma 90.00
_space_group_name_H-M_alt 'I 4/m m m'
_space_group_IT_number 139
_space_group_name_Hall '-I 4 2'
loop_
_atom_site_label
_atom_site_type_symbol
_atom_site_fract_x
_atom_site_fract_y
_atom_site_fract_z
_atom_site_occupancy
Tb1 Tb 0.000 0.000 0.000 1
Tb2 Tb 0.000 0.000 0.195 1
Nd1 Nd 0.000 0.000 0.296 1
Nd2 Nd 0.000 0.500 0.120 1
Ho1 Ho 0.000 0.000 0.455 1
```

=====

Here is a relaxed structure of LiH2Se from the Alexandria database. Energies are from PBE-GGA.

Computed properties:
Distance to the lowest polymorph of the same formula = 0.1341 eV/atom

```
data_LiH2Se
_cell_length_a 3.725
_cell_length_b 3.725
_cell_length_c 13.977
_cell_angle_alpha 90.00
_cell_angle_beta 90.00
_cell_angle_gamma 90.00
_space_group_name_H-M_alt 'I 41/a m d'
_space_group_IT_number 141
loop_
_space_group_symop_operation_xyz
'x,y,z'
'-x,-y,-z'
'-y+1/4,x+3/4,z+1/4'
'y+1/4,-x+3/4,-z+1/4'
'-x+1/2,-y,z+1/2'
'x+1/2,y,-z+1/2'
'y+1/4,-x+1/4,z+3/4'
'-y+1/4,x+1/4,-z+3/4'
'x,-y,-z'
'-x,y,z'
'-y+1/4,-x+1/4,-z+3/4'
'y+1/4,x+1/4,z+3/4'
'-x+1/2,y,-z+1/2'
'x+1/2,-y,z+1/2'
'y+1/4,x+3/4,-z+1/4'
'-y+1/4,-x+3/4,z+1/4'
'x+1/2,y+1/2,z+1/2'
'-x+1/2,-y+1/2,-z+1/2'
'-y+3/4,x+1/4,z+3/4'
'y+3/4,-x+1/4,-z+3/4'
'-x,-y+1/2,z'
'x,y+1/2,-z'
'y+3/4,-x+3/4,z+1/4'
'-y+3/4,x+3/4,-z+1/4'
'x+1/2,-y+1/2,-z+1/2'
'-x+1/2,y+1/2,z+1/2'
'-y+3/4,-x+3/4,-z+1/4'
'y+3/4,x+3/4,z+1/4'
'-x,y+1/2,-z'
'x,-y+1/2,z'
'y+3/4,x+1/4,-z+3/4'
'-y+3/4,-x+1/4,z+3/4'
loop_
_atom_site_label
_atom_site_type_symbol
_atom_site_fract_x
_atom_site_fract_y
_atom_site_fract_z
_atom_site_occupancy
Li1 Li 0.000 0.250 0.375 1
H1 H 0.000 0.000 0.000 1
Se1 Se 0.000 0.250 0.875 1
```

=====

Here is a relaxed structure of In2AsAu from the Alexandria database. Energies are from PBE-GGA.

Computed properties:
Calculated formation energy = 0.079 eV per atom
Distance to the lowest polymorph of the same formula = 0.1852 eV/atom

```
data_In2AsAu
_cell_length_a 4.674
_cell_length_b 4.682
_cell_length_c 8.341
_cell_angle_alpha 90.00
_cell_angle_beta 90.00
_cell_angle_gamma 90.00
_space_group_name_H-M_alt 'C m m 2'
_space_group_IT_number 35
loop_
_space_group_symop_operation_xyz
'x,y,z'
'-x,-y,z'
'-x,y,z'
'x,-y,z'
'x+1/2,y+1/2,z'
'-x+1/2,-y+1/2,z'
'-x+1/2,y+1/2,z'
'x+1/2,-y+1/2,z'
loop_
_atom_site_label
_atom_site_type_symbol
_atom_site_fract_x
_atom_site_fract_y
_atom_site_fract_z
_atom_site_occupancy
In1 In 0.000 0.000 0.000 1
In2 In 0.000 0.500 0.308 1
As1 As 0.000 0.500 0.738 1
Au1 Au 0.000 0.000 0.540 1
```

=====

Here is a relaxed structure of PrEuInPd from the Alexandria database. Energies are from PBE-GGA.

Computed properties:
Calculated formation energy = -0.489 eV per atom

```
data_PrEuInPd
_cell_length_a 7.580
_cell_length_b 7.580
_cell_length_c 7.580
_cell_angle_alpha 90.00
_cell_angle_beta 90.00
_cell_angle_gamma 90.00
_space_group_name_H-M_alt 'F -4 3 m'
_space_group_IT_number 216
_space_group_name_Hall 'F -4 2 3'
loop_
_atom_site_label
_atom_site_type_symbol
_atom_site_fract_x
_atom_site_fract_y
_atom_site_fract_z
_atom_site_occupancy
Pr1 Pr 0.000 0.000 0.000 1
Eu1 Eu 0.000 0.000 0.500 1
In1 In 0.250 0.250 0.250 1
Pd1 Pd 0.250 0.250 0.750 1
```

=====

Here is a relaxed structure of TbScPbO2 from the Alexandria database. Energies are from PBE-GGA.

Computed properties:
Raw total energy = -7.395 eV per atom

```
data_TbScPbO2
_cell_length_a 3.750
_cell_length_b 3.750
_cell_length_c 13.898
_cell_angle_alpha 90.00
_cell_angle_beta 90.00
_cell_angle_gamma 90.00
_space_group_name_H-M_alt 'I 4 m m'
_space_group_IT_number 107
_space_group_name_Hall 'I 4 -2'
loop_
_atom_site_label
_atom_site_type_symbol
_atom_site_fract_x
_atom_site_fract_y
_atom_site_fract_z
_atom_site_occupancy
Tb1 Tb 0.000 0.000 0.000 1
Sc1 Sc 0.000 0.000 0.346 1
Pb1 Pb 0.000 0.000 0.675 1
O1 O 0.000 0.500 0.413 1
```

=====

Here is a relaxed structure of Pm3CdTe2 from the Alexandria database. Energies are from PBE-GGA.

Computed properties:
Raw total energy = -4.597 eV per atom

```
data_Pm3CdTe2
_cell_length_a 4.331
_cell_length_b 6.314
_cell_length_c 13.764
_cell_angle_alpha 90.00
_cell_angle_beta 90.00
_cell_angle_gamma 90.00
_space_group_name_H-M_alt 'I m m m'
_space_group_IT_number 71
_space_group_name_Hall '-I 2 2'
loop_
_atom_site_label
_atom_site_type_symbol
_atom_site_fract_x
_atom_site_fract_y
_atom_site_fract_z
_atom_site_occupancy
Pm1 Pm 0.000 0.000 0.000 1
Pm2 Pm 0.000 0.000 0.331 1
Cd1 Cd 0.000 0.500 0.000 1
Te1 Te 0.000 0.500 0.334 1
```

=====

Here is a relaxed structure of Ga10GePb3O20 from the Alexandria database. Energies are from PBE-GGA.

Computed properties:
Raw total energy = -6.006 eV per atom

```
data_Ga10GePb3O20
_cell_length_a 15.833
_cell_length_b 11.870
_cell_length_c 5.185
_cell_angle_alpha 90.00
_cell_angle_beta 108.90
_cell_angle_gamma 90.00
_space_group_name_H-M_alt 'C 1 2/m 1'
_space_group_IT_number 12
loop_
_space_group_symop_operation_xyz
'x,y,z'
'-x,-y,-z'
'-x,y,-z'
'x,-y,z'
'x+1/2,y+1/2,z'
'-x+1/2,-y+1/2,-z'
'-x+1/2,y+1/2,-z'
'x+1/2,-y+1/2,z'
loop_
_atom_site_label
_atom_site_type_symbol
_atom_site_fract_x
_atom_site_fract_y
_atom_site_fract_z
_atom_site_occupancy
Ga1 Ga 0.000 0.134 0.000 1
Ga2 Ga 0.135 0.214 0.607 1
Ga3 Ga 0.143 0.363 0.126 1
Ge1 Ge 0.000 0.000 0.500 1
Pb1 Pb 0.000 0.500 0.500 1
Pb2 Pb 0.223 0.000 0.290 1
O1 O 0.067 0.000 0.249 1
O2 O 0.069 0.115 0.742 1
O3 O 0.084 0.244 0.231 1
O4 O 0.098 0.500 0.197 1
O5 O 0.135 0.355 0.762 1
O6 O 0.240 0.137 0.637 1
```

=====

Here is a relaxed structure of HoAl2ZnCu2 from the Alexandria database. Energies are from PBE-GGA.

Computed properties:
Calculated formation energy = -0.056 eV per atom

```
data_HoAl2ZnCu2
_cell_length_a 4.427
_cell_length_b 4.427
_cell_length_c 5.542
_cell_angle_alpha 90.00
_cell_angle_beta 90.00
_cell_angle_gamma 90.00
_space_group_name_H-M_alt 'P 4/m m m'
_space_group_IT_number 123
_space_group_name_Hall '-P 4 2'
loop_
_atom_site_label
_atom_site_type_symbol
_atom_site_fract_x
_atom_site_fract_y
_atom_site_fract_z
_atom_site_occupancy
Ho1 Ho 0.000 0.000 0.000 1
Al1 Al 0.500 0.500 0.239 1
Zn1 Zn 0.000 0.000 0.500 1
Cu1 Cu 0.000 0.500 0.500 1
```

=====

Here is a relaxed structure of Ga3Sn3N5 from the Alexandria database. Energies are from PBE-GGA.

Computed properties:
Raw total energy = -5.592 eV per atom

```
data_Ga3Sn3N5
_cell_length_a 6.005
_cell_length_b 6.932
_cell_length_c 8.885
_cell_angle_alpha 102.64
_cell_angle_beta 98.51
_cell_angle_gamma 93.93
_space_group_name_H-M_alt 'P -1'
_space_group_IT_number 2
loop_
_space_group_symop_operation_xyz
'x,y,z'
'-x,-y,-z'
loop_
_atom_site_label
_atom_site_type_symbol
_atom_site_fract_x
_atom_site_fract_y
_atom_site_fract_z
_atom_site_occupancy
Ga1 Ga 0.104 0.196 0.038 1
Ga2 Ga 0.137 0.416 0.728 1
Ga3 Ga 0.309 0.506 0.389 1
Sn1 Sn 0.216 0.826 0.671 1
Sn2 Sn 0.272 0.002 0.346 1
Sn3 Sn 0.388 0.670 0.110 1
N1 N 0.053 0.348 0.242 1
N2 N 0.116 0.749 0.415 1
N3 N 0.195 0.934 0.080 1
N4 N 0.267 0.378 0.937 1
N5 N 0.366 0.532 0.624 1
```

=====

Here is a relaxed structure of NiOs from the Alexandria database. Energies are from PBE-GGA.

Computed properties:
Calculated formation energy = 1.748 eV per atom

```
data_NiOs
_cell_length_a 7.256
_cell_length_b 7.256
_cell_length_c 7.256
_cell_angle_alpha 90.00
_cell_angle_beta 90.00
_cell_angle_gamma 90.00
_space_group_name_H-M_alt 'I -4 3 m'
_space_group_IT_number 217
_space_group_name_Hall 'I -4 2 3'
loop_
_atom_site_label
_atom_site_type_symbol
_atom_site_fract_x
_atom_site_fract_y
_atom_site_fract_z
_atom_site_occupancy
Ni1 Ni 0.193 0.193 0.193 1
Os1 Os 0.128 0.128 0.872 1
```

=====

Here is a relaxed structure of BePtW from the Alexandria database. Energies are from PBE-GGA.

Computed properties:
Calculated formation energy = -0.216 eV per atom
Distance to the lowest polymorph of the same formula = 0.1241 eV/atom

```
data_BePtW
_cell_length_a 2.769
_cell_length_b 4.086
_cell_length_c 7.361
_cell_angle_alpha 90.00
_cell_angle_beta 93.38
_cell_angle_gamma 90.00
_space_group_name_H-M_alt 'P 1 21/m 1'
_space_group_IT_number 11
loop_
_space_group_symop_operation_xyz
'x,y,z'
'-x,-y,-z'
'-x,y+1/2,-z'
'x,-y+1/2,z'
loop_
_atom_site_label
_atom_site_type_symbol
_atom_site_fract_x
_atom_site_fract_y
_atom_site_fract_z
_atom_site_occupancy
Be1 Be 0.213 0.250 0.252 1
Pt1 Pt 0.234 0.750 0.411 1
W1 W 0.322 0.250 0.908 1
```

=====

Here is a relaxed structure of Fe2P from the Alexandria database. Energies are from PBE-GGA.

Computed properties:
Calculated formation energy = -0.109 eV per atom

```
data_Fe2P
_cell_length_a 2.618
_cell_length_b 11.898
_cell_length_c 4.156
_cell_angle_alpha 90.00
_cell_angle_beta 90.00
_cell_angle_gamma 90.00
_space_group_name_H-M_alt 'C m c m'
_space_group_IT_number 63
_space_group_name_Hall '-C 2c 2'
loop_
_atom_site_label
_atom_site_type_symbol
_atom_site_fract_x
_atom_site_fract_y
_atom_site_fract_z
_atom_site_occupancy
Fe1 Fe 0.000 0.052 0.250 1
Fe2 Fe 0.000 0.369 0.250 1
P1 P 0.000 0.291 0.750 1
```

=====

Here is a relaxed structure of La2Al2Ag3 from the Alexandria database. Energies are from PBE-GGA.

Computed properties:
Calculated formation energy = -0.315 eV per atom

```
data_La2Al2Ag3
_cell_length_a 4.441
_cell_length_b 20.249
_cell_length_c 7.363
_cell_angle_alpha 90.00
_cell_angle_beta 90.00
_cell_angle_gamma 90.00
_space_group_name_H-M_alt 'C m c m'
_space_group_IT_number 63
_space_group_name_Hall '-C 2c 2'
loop_
_atom_site_label
_atom_site_type_symbol
_atom_site_fract_x
_atom_site_fract_y
_atom_site_fract_z
_atom_site_occupancy
La1 La 0.000 0.060 0.250 1
La2 La 0.000 0.156 0.750 1
Al1 Al 0.000 0.306 0.560 1
Ag1 Ag 0.000 0.224 0.250 1
Ag2 Ag 0.000 0.436 0.058 1
```

=====

Here is a relaxed structure of PuMg2CuO6 from the Alexandria database. Energies are from PBE-GGA.

Computed properties:
Raw total energy = -7.282 eV per atom

```
data_PuMg2CuO6
_cell_length_a 5.2993
_cell_length_b 5.2993
_cell_length_c 14.3349
_cell_angle_alpha 90.00
_cell_angle_beta 90.00
_cell_angle_gamma 120.00
_space_group_name_H-M_alt 'R 3'
_space_group_IT_number 146
_space_group_name_Hall 'R 3'
loop_
_atom_site_label
_atom_site_type_symbol
_atom_site_fract_x
_atom_site_fract_y
_atom_site_fract_z
_atom_site_occupancy
Pu1 Pu 0.0000 0.0000 0.0000 1
Mg1 Mg 0.0000 0.0000 0.3043 1
Mg2 Mg 0.0000 0.0000 0.7950 1
Cu1 Cu 0.0000 0.0000 0.5089 1
O1 O 0.0299 0.3529 0.0708 1
O2 O 0.0350 0.6680 0.5742 1
```

=====

Here is a relaxed structure of Y12Fe6Sn from the Alexandria database. Energies are from PBE-GGA.

Computed properties:
Calculated formation energy = -0.118 eV per atom

```
data_Y12Fe6Sn
_cell_length_a 9.760
_cell_length_b 9.760
_cell_length_c 9.760
_cell_angle_alpha 90.00
_cell_angle_beta 90.00
_cell_angle_gamma 90.00
_space_group_name_H-M_alt 'I m -3'
_space_group_IT_number 204
_space_group_name_Hall '-I 2 2 3'
loop_
_atom_site_label
_atom_site_type_symbol
_atom_site_fract_x
_atom_site_fract_y
_atom_site_fract_z
_atom_site_occupancy
Y1 Y 0.000 0.299 0.195 1
Fe1 Fe 0.000 0.108 0.500 1
Sn1 Sn 0.000 0.000 0.000 1
```

=====

Here is a relaxed structure of Th8NiTe4Ru3 from the Alexandria database. Energies are from PBE-GGA.

Computed properties:
Raw total energy = -7.459 eV per atom

```
data_Th8NiTe4Ru3
_cell_length_a 8.3200
_cell_length_b 8.3200
_cell_length_c 23.1007
_cell_angle_alpha 90.00
_cell_angle_beta 90.00
_cell_angle_gamma 120.00
_space_group_name_H-M_alt 'R -3 m'
_space_group_IT_number 166
_space_group_name_Hall '-R 3 2"'
loop_
_atom_site_label
_atom_site_type_symbol
_atom_site_fract_x
_atom_site_fract_y
_atom_site_fract_z
_atom_site_occupancy
Th1 Th 0.0000 0.0000 0.2339 1
Th2 Th 0.0014 0.5007 0.7671 1
Ni1 Ni 0.0000 0.0000 0.5000 1
Te1 Te 0.0000 0.0000 0.0000 1
Te2 Te 0.0000 0.5000 0.0000 1
Ru1 Ru 0.0000 0.5000 0.5000 1
```